Record 1
Pa3TcPt: optimized geometry, GGA-PBE.

The structure in POSCAR format:
```
Pa3TcPt
1.0
5.8672 0.5239 -0.0757
3.4071 6.5303 0.1099
3.0368 2.5277 6.3660
Pa Tc Pt
6 2 2
Cartesian
7.7369 4.4424 4.5749
5.7459 7.1419 4.7377
5.2954 3.0111 5.1816
4.5742 5.1394 1.8253
6.5653 2.4400 1.6625
7.0158 6.5708 1.2186
3.1380 3.1019 0.2212
9.1731 6.4799 6.1790
8.7140 6.9395 3.5065
3.5972 2.6424 2.8938
```

Properties
- Total energy: -0.3409 Ha/atom


Record 2
LaCrH2: optimized geometry, GGA-PBE.

The structure in POSCAR format:
```
LaCrH2
1.0
0.0000 2.9184 2.9184
2.9184 0.0000 2.9184
2.9184 2.9184 0.0000
Cr H La
1 2 1
Cartesian
0.0000 0.0000 0.0000
1.4592 1.4592 1.4592
4.3776 4.3776 4.3776
2.9184 2.9184 2.9184
```

Properties
- Total energy: -0.1751 Ha/atom


Record 3
Pr2SmHoBi5: optimized geometry, GGA-PBE.

The structure in POSCAR format:
```
Pr2SmHoBi5
1.0
-1.3447 -2.0361 4.9614
-4.2414 -2.7265 -2.2685
7.0900 -9.4136 -1.9416
Pr Sm Ho Bi
2 1 1 5
Cartesian
-0.8295 -4.9884 0.8087
2.3334 -9.1879 -0.0574
3.5450 -4.7068 -0.9708
0.0000 0.0000 0.0000
1.4243 -6.0701 -2.1051
2.8726 -5.7249 1.5099
5.3625 -7.1200 -1.4685
1.7275 -2.2936 -0.4731
-2.7930 -2.3813 1.3464
```

Properties
- Total energy: -0.1592 Ha/atom


Record 4
CaThIr: optimized geometry, GGA-PBE.

The structure in POSCAR format:
```
CaThIr
1.0
4.9006 0.0000 0.0000
2.4503 4.2441 0.0000
2.4503 1.4147 4.0013
Ca Ir Th
1 1 1
Cartesian
0.0000 0.0000 0.0000
2.4503 1.4147 1.0003
4.9006 2.8294 2.0007
```

Properties
- ΔE to the lowest computed polymorph: 0.1860 eV/atom